# CaSiWO6

An optimized crystal structure of CaSiWO6 (GGA+U, Alexandria).

Computed properties:
- Density of states at the Fermi level: 0.00 states/eV/cell
- Total magnetic moment: 0.00 μB per atom
- V: 220 Å³/cell
- E: -7.441 eV/atom

a = 5.0044 Å, b = 5.0044 Å, c = 10.1435 Å
α = 90.00°, β = 90.00°, γ = 120.00°
With the nearest neighbours (Å) after each atom.
Element x y z (fractional)
Ca1 0.0000 0.0000 0.5000  6 O 2.41
Ca2 0.0000 0.0000 0.0000  6 O 2.41
O1 0.3870 0.0208 0.1480  1 Si 1.81, 1 W 1.95
O2 0.3662 0.3870 0.8520  1 Si 1.81, 1 W 1.95
O3 0.6130 0.9792 0.8520  1 Si 1.81, 1 W 1.95
O4 0.9792 0.6130 0.3520  1 Si 1.81, 1 W 1.95
O5 0.6130 0.6338 0.6480  1 Si 1.81, 1 W 1.95
O6 0.6338 0.0208 0.3520  1 Si 1.81, 1 W 1.95
O7 0.3662 0.9792 0.6480  1 Si 1.81, 1 W 1.95
O8 0.9792 0.3662 0.1480  1 Si 1.81, 1 W 1.95
O9 0.0208 0.6338 0.8520  1 Si 1.81, 1 W 1.95
O10 0.6338 0.6130 0.1480  1 Si 1.81, 1 W 1.95
O11 0.3870 0.3662 0.3520  1 Si 1.81, 1 W 1.95
O12 0.0208 0.3870 0.6480  1 Si 1.81, 1 W 1.95
Si1 0.6667 0.3333 0.2500  6 O 1.81
Si2 0.3333 0.6667 0.7500  6 O 1.81
W1 0.6667 0.3333 0.7500  6 O 1.95
W2 0.3333 0.6667 0.2500  6 O 1.95